Compound: NaGdBi
Source: OQMD
Functional: PBE-GGA
Structure: relaxed

Calculated values
The calculation puts the magnetic moment at 0.0 μB/cell. As for the calculated total energy: -3.50 eV/atom.

a b c (Å): 7.3939 7.3939 7.3939
angles (deg): 90.00 90.00 90.00
Space group F-43m (No. 216)
Inequivalent atoms, fractional coordinates:
Na  0.0000  0.0000  0.0000 (multiplicity 4)
Gd  0.2500  0.2500  0.7500 (multiplicity 4)
Bi  0.0000  0.0000  0.5000 (multiplicity 4)



Compound: GdNbBi
Source: OQMD
Functional: PBE-GGA
Structure: relaxed

Calculated values
The calculation puts the magnetic moment at 0.3 μB/cell. As for the offset from the most stable computed form: 0 meV per atom.

a b c (Å): 6.9635 6.9635 6.9635
angles (deg): 90.00 90.00 90.00
Space group F-43m (No. 216)
Inequivalent atoms, fractional coordinates:
Gd  0.0000  0.0000  0.0000 (multiplicity 4)
Nb  0.0000  0.0000  0.5000 (multiplicity 4)
Bi  0.2500  0.2500  0.2500 (multiplicity 4)



Compound: NdGdBi
Source: OQMD
Functional: PBE-GGA
Structure: relaxed

Calculated values
The calculation puts the magnetic moment at 0.0 μB/cell. As for the calculated total energy: -4.89 eV/atom.

a b c (Å): 7.4488 7.4488 7.4488
angles (deg): 90.00 90.00 90.00
Space group F-43m (No. 216)
Inequivalent atoms, fractional coordinates:
Nd  0.0000  0.0000  0.0000 (multiplicity 4)
Gd  0.0000  0.0000  0.5000 (multiplicity 4)
Bi  0.2500  0.2500  0.7500 (multiplicity 4)



Compound: NdGdBi2S2
Source: OQMD
Functional: PBE-GGA
Structure: relaxed

Calculated values
The calculation puts the magnetic moment at 0.0 μB/cell. As for the calculated total energy: -5.58 eV/atom.

a b c (Å): 4.2465 4.2465 8.8795
angles (deg): 90.00 90.00 90.00
Space group P4mm (No. 99)
Inequivalent atoms, fractional coordinates:
Nd  0.0000  0.0000  0.0000 (multiplicity 1)
Gd  0.5000  0.5000  0.3700 (multiplicity 1)
Bi  0.0000  0.5000  0.6820 (multiplicity 2)
S  0.0000  0.0000  0.3162 (multiplicity 1)
S  0.5000  0.5000  0.0615 (multiplicity 1)



Compound: GdNiBi
Source: OQMD
Functional: PBE-GGA
Structure: relaxed

Calculated values
The calculation puts the magnetic moment at 0.0 μB/cell. As for the calculated total energy: -5.46 eV/atom.

a b c (Å): 6.5093 6.5093 6.5093
angles (deg): 90.00 90.00 90.00
Space group F-43m (No. 216)
Inequivalent atoms, fractional coordinates:
Gd  0.0000  0.0000  0.0000 (multiplicity 4)
Ni  0.2500  0.2500  0.2500 (multiplicity 4)
Bi  0.0000  0.0000  0.5000 (multiplicity 4)



Compound: GdNiBi
Source: OQMD
Functional: PBE-GGA
Structure: relaxed

Calculated values
The calculation puts the magnetic moment at 0.0 μB/cell. As for the calculated total energy: -5.32 eV/atom.

a b c (Å): 7.4666 4.5825 7.7865
angles (deg): 90.00 90.00 90.00
Space group Pnma (No. 62)
Inequivalent atoms, fractional coordinates:
Gd  0.0070  0.2500  0.2136 (multiplicity 4)
Ni  0.1587  0.7500  0.4277 (multiplicity 4)
Bi  0.2198  0.2500  0.5966 (multiplicity 4)



Compound: GdNiBi
Source: OQMD
Functional: PBE-GGA
Structure: relaxed

Calculated values
The calculation puts the magnetic moment at 0.0 μB/cell. As for the calculated total energy: -5.20 eV/atom.

a b c (Å): 7.2277 7.2277 4.4392
angles (deg): 90.00 90.00 120.00
Space group P-62m (No. 189)
Inequivalent atoms, fractional coordinates:
Gd  0.0000  0.5704  0.0000 (multiplicity 3)
Ni  0.0000  0.2451  0.5000 (multiplicity 3)
Bi  0.0000  0.0000  0.0000 (multiplicity 1)
Bi  0.3333  0.6667  0.5000 (multiplicity 2)



Compound: GdNiBi
Source: OQMD
Functional: PBE-GGA
Structure: relaxed

Calculated values
The calculation puts the magnetic moment at 0.0 μB/cell. As for the calculated total energy: -5.29 eV/atom.

a b c (Å): 7.4110 7.4110 4.1782
angles (deg): 90.00 90.00 120.00
Space group P-62m (No. 189)
Inequivalent atoms, fractional coordinates:
Gd  0.0000  0.6108  0.0000 (multiplicity 3)
Ni  0.0000  0.0000  0.0000 (multiplicity 1)
Ni  0.3333  0.6667  0.5000 (multiplicity 2)
Bi  0.0000  0.2762  0.5000 (multiplicity 3)



Compound: GdNiBi
Source: OQMD
Functional: PBE-GGA
Structure: relaxed

Calculated values
The calculation puts the magnetic moment at 0.0 μB/cell. As for the calculated total energy: -4.78 eV/atom.

a b c (Å): 8.3307 8.3307 3.6945
angles (deg): 90.00 90.00 120.00
Space group P-62m (No. 189)
Inequivalent atoms, fractional coordinates:
Gd  0.0000  0.2872  0.0000 (multiplicity 3)
Ni  0.0000  0.6702  0.5000 (multiplicity 3)
Bi  0.0000  0.0000  0.5000 (multiplicity 1)
Bi  0.3333  0.6667  0.0000 (multiplicity 2)



Compound: Gd2Bi2O5
Source: OQMD
Functional: PBE-GGA
Structure: relaxed

Calculated values
The calculation puts the magnetic moment at 0.4 μB/cell. As for the offset from the most stable computed form: 681 meV per atom.

a b c (Å): 4.3038 4.3038 7.6124
angles (deg): 90.00 90.00 90.00
Space group P4/mmm (No. 123)
Inequivalent atoms, fractional coordinates:
Gd  0.0000  0.0000  0.0000 (multiplicity 1)
Gd  0.0000  0.0000  0.5000 (multiplicity 1)
Bi  0.5000  0.5000  0.2177 (multiplicity 2)
O  0.0000  0.5000  0.2892 (multiplicity 4)
O  0.5000  0.5000  0.5000 (multiplicity 1)



Compound: Gd2Bi2O5
Source: OQMD
Functional: PBE-GGA
Structure: relaxed

Calculated values
The calculation puts the magnetic moment at 0.0 μB/cell. As for the offset from the most stable computed form: 0 meV per atom.

a b c (Å): 3.9627 3.9627 9.5558
angles (deg): 90.00 90.00 90.00
Space group P4/mmm (No. 123)
Inequivalent atoms, fractional coordinates:
Gd  0.0000  0.0000  0.2471 (multiplicity 2)
Bi  0.5000  0.5000  0.0000 (multiplicity 1)
Bi  0.5000  0.5000  0.5000 (multiplicity 1)
O  0.0000  0.0000  0.0000 (multiplicity 1)
O  0.0000  0.5000  0.3517 (multiplicity 4)



Compound: Gd3BiO3
Source: OQMD
Functional: PBE-GGA
Structure: relaxed

Calculated values
The calculation puts the magnetic moment at 0.0 μB/cell. As for the calculated total energy: -7.46 eV/atom.

a b c (Å): 13.2707 3.9229 11.8626
angles (deg): 90.00 118.47 90.00
Space group C2/m (No. 12)
Inequivalent atoms, fractional coordinates:
Gd  0.1212  0.0000  0.4403 (multiplicity 4)
Gd  0.1286  0.0000  0.9024 (multiplicity 4)
Gd  0.1544  0.5000  0.2049 (multiplicity 4)
Bi  0.1180  0.5000  0.6782 (multiplicity 4)
O  0.0632  0.0000  0.1937 (multiplicity 4)
O  0.1621  0.5000  0.0130 (multiplicity 4)
O  0.1896  0.5000  0.4083 (multiplicity 4)